[1]
A plane-wave DFT calculation with PBE was carried out for a relaxed K12Hg6Au crystal.

Cell lengths 9.590, 9.590, 9.590 Å; angles 100.54, 100.54, 100.54 degrees
Sites, in units of the cell vectors:
K (0.215, 0.050, 0.702)
Hg (0.694, 0.555, 0.285)
K (0.665, 0.635, 0.926)
Hg (0.306, 0.445, 0.715)
Hg (0.285, 0.694, 0.555)
K (0.926, 0.665, 0.635)
K (0.785, 0.950, 0.298)
K (0.950, 0.298, 0.785)
Hg (0.445, 0.715, 0.306)
Hg (0.715, 0.306, 0.445)
K (0.635, 0.926, 0.665)
K (0.074, 0.335, 0.365)
K (0.335, 0.365, 0.074)
Hg (0.555, 0.285, 0.694)
K (0.298, 0.785, 0.950)
K (0.702, 0.215, 0.050)
K (0.365, 0.074, 0.335)
Au (0.000, 0.000, 0.000)
K (0.050, 0.702, 0.215)

Calculated values
Energy: -1.108 eV/atom
Polymorph energy (0 for the lowest one): 0.017 eV per atom
Crystal system: trigonal
Energy of formation from the pure elements: -0.147 eV per atom
V: 830.92 Å³/cell

---

[2]
A plane-wave DFT calculation with PBE was carried out for a relaxed K2Hg5Au5 crystal.

Cell lengths 4.796, 5.741, 10.990 Å; angles 90.00, 90.00, 90.00 degrees
Sites, in units of the cell vectors:
Au (0.500, 0.754, 0.732)
Au (0.500, 0.754, 0.268)
Au (0.500, 0.500, 0.500)
K (0.000, 0.500, 0.000)
Au (0.500, 0.246, 0.732)
K (0.000, 0.000, 0.500)
Hg (0.000, 0.000, 0.178)
Hg (0.500, 0.000, 0.000)
Hg (0.000, 0.000, 0.822)
Hg (0.000, 0.500, 0.664)
Au (0.500, 0.246, 0.268)
Hg (0.000, 0.500, 0.336)

Calculated values
Energy: -1.804 eV/atom
Crystal system: orthorhombic
Energy of formation from the pure elements: -0.130 eV per atom
V: 302.58 Å³/cell

---

[3]
A plane-wave DFT calculation with PBE was carried out for a relaxed K4HgAu crystal.

Cell lengths 7.482, 7.482, 7.482 Å; angles 60.00, 60.00, 60.00 degrees
Sites, in units of the cell vectors:
Hg (0.000, 0.000, 0.000)
K (0.376, 0.376, 0.873)
K (0.376, 0.873, 0.376)
Au (0.750, 0.750, 0.750)
K (0.376, 0.376, 0.376)
K (0.873, 0.376, 0.376)

Calculated values
Energy: -1.158 eV/atom
Polymorph energy (0 for the lowest one): 0.362 eV per atom
Crystal system: cubic
Energy of formation from the pure elements: 0.171 eV per atom
V: 296.20 Å³/cell

---

[4]
A plane-wave DFT calculation with PBE was carried out for a relaxed K2HgAu crystal.

Cell lengths 4.779, 6.287, 6.287 Å; angles 63.27, 67.60, 67.60 degrees
Sites, in units of the cell vectors:
K (0.451, 0.491, 0.608)
Au (0.750, 0.926, 0.574)
Hg (0.250, 0.191, 0.309)
K (0.049, 0.892, 0.009)

Calculated values
Energy: -1.710 eV/atom
Crystal system: orthorhombic
Energy of formation from the pure elements: -0.267 eV per atom
V: 150.87 Å³/cell

---

[5]
A plane-wave DFT calculation with PBE was carried out for a relaxed KHg11Au5 crystal.

Cell lengths 7.493, 8.006, 8.006 Å; angles 105.05, 95.14, 95.14 degrees
Sites, in units of the cell vectors:
Hg (0.674, 0.682, 0.126)
Hg (0.605, 0.391, 0.391)
K (0.000, 0.000, 0.000)
Au (0.294, 0.676, 0.961)
Hg (0.098, 0.490, 0.174)
Hg (0.902, 0.510, 0.826)
Au (0.706, 0.039, 0.324)
Hg (0.326, 0.874, 0.318)
Hg (0.674, 0.126, 0.682)
Hg (0.395, 0.609, 0.609)
Hg (0.902, 0.826, 0.510)
Hg (0.098, 0.174, 0.490)
Au (0.000, 0.500, 0.500)
Hg (0.500, 0.000, 0.000)
Au (0.294, 0.961, 0.676)
Hg (0.326, 0.318, 0.874)
Au (0.706, 0.324, 0.039)

Calculated values
Energy: -1.221 eV/atom
Crystal system: monoclinic
Energy of formation from the pure elements: 0.003 eV per atom
V: 458.79 Å³/cell

---

[6]
A plane-wave DFT calculation with PBE was carried out for a relaxed K2HgAu crystal.

Cell lengths 3.987, 3.987, 9.557 Å; angles 90.00, 90.00, 89.99 degrees
Sites, in units of the cell vectors:
K (0.000, 0.000, 0.914)
Au (0.000, 0.000, 0.556)
Hg (0.500, 0.500, 0.691)
K (0.500, 0.500, 0.339)

Calculated values
Energy: -1.617 eV/atom
Crystal system: tetragonal
Energy of formation from the pure elements: -0.173 eV per atom
V: 151.92 Å³/cell